NpVRhO6 | PBE with a Hubbard U | optimized geometry

Computed properties:
**Spin magnetization**: 0.3340 μB/atom
**Final energy**: -8.303 eV per atom

Lattice parameters (Å, degrees): 5.2762 5.2762 8.7517 90.00 90.00 120.00
With the nearest neighbours (Å) after each atom.
Space group P-31c (No. 163)
Unique sites:
Np 0.3333 0.6667 0.2500 (multiplicity 2)  6 O 2.09
V 0.3333 0.6667 0.7500 (multiplicity 2)  6 O 2.03
Rh 0.0000 0.0000 0.0000 (multiplicity 2)  6 O 2.08
O 0.0090 0.3375 0.6274 (multiplicity 12)  1 V 2.03, 1 Rh 2.08, 1 Np 2.09